# FePb2W

A relaxed FePb2W crystal (GGA-PBE, Alexandria via LeMat-Bulk).

It has space group Fm-3m (No. 225), with a = 6.724 Å, b = 6.724 Å, c = 6.724 Å, α = 90.00°, β = 90.00° and γ = 90.00°. Symmetry generates all atoms from Fe at (0.000, 0.000, 0.000), Pb at (0.250, 0.250, 0.250) and W at (0.000, 0.000, 0.500).

The distance to the lowest polymorph of the same formula is 0.766 eV per atom. The calculation puts the formation energy at 1198 meV/atom.